VASP calculation (PBE) on a relaxed Tl2SnHgSe4 crystal.

Lattice parameters (Å, degrees): 6.7955 6.7955 6.7956 105.57 105.57 117.59
Element x y z (fractional)
Se1 0.4036 0.4036 0.3455
Se2 0.0580 0.0580 0.6545
Se3 0.9419 0.5965 0.0000
Se4 0.5965 0.9419 0.0000
Tl1 0.5000 0.0000 0.5000
Tl2 0.0000 0.5000 0.5000
Hg1 0.5000 0.5000 0.0000
Sn1 0.0000 0.0000 0.0000

Values from the calculation:
energy relative to the elements, uncorrected	-0.353	eV per atom
total moment	0.00	μB/cell
calculated volume	29.736	Å³/atom


VASP calculation (PBE) on a relaxed MnBe2AlTc crystal.

Lattice parameters (Å, degrees): 3.9094 4.2916 3.9094 90.00 90.00 90.00
Element x y z (fractional)
Be1 0.0000 0.0000 0.5000
Be2 0.5000 0.0000 0.0000
Al1 0.0000 0.5000 0.0000
Mn1 0.0000 0.0000 0.0000
Tc1 0.5000 0.5000 0.5000

Values from the calculation:
calculated formation energy	0.91	eV per atom
total moment	1.09	μB/cell
calculated volume	13.118	Å³/atom


VASP calculation (PBE) on a relaxed SrI2N2 crystal.

Lattice parameters (Å, degrees): 4.4423 4.4423 6.8508 90.00 90.00 90.00
Element x y z (fractional)
N1 0.0000 0.5000 0.0000
N2 0.5000 0.0000 0.0000
I1 0.0000 0.0000 0.0000
I2 0.0000 0.0000 0.5000
Sr1 0.5000 0.5000 0.5000

Values from the calculation:
energy relative to the elements, uncorrected	1.039	eV per atom
total moment	1.39	μB/cell
distance to the lowest polymorph of the same formula	2.0623	eV/atom
calculated volume	27.038	Å³/atom


VASP calculation (PBE) on a relaxed Na2NpTiS4 crystal.

Lattice parameters (Å, degrees): 3.8205 6.5073 7.0630 108.08 90.00 90.00
Element x y z (fractional)
Na1 0.0000 0.5000 0.5000
Na2 0.5000 0.0000 0.5000
Np1 0.5000 0.5000 0.0000
S1 0.5000 0.7783 0.7855
S2 0.5000 0.2217 0.2145
S3 0.0000 0.2406 0.7752
S4 0.0000 0.7594 0.2248
Ti1 0.0000 0.0000 0.0000

Values from the calculation:
energy relative to the elements, uncorrected	-1.337	eV per atom
total moment	5.01	μB/cell
calculated volume	20.866	Å³/atom


VASP calculation (PBE) on a relaxed BaSc2Pb crystal.

Lattice parameters (Å, degrees): 4.9902 4.9902 4.7827 90.00 90.00 90.00
Element x y z (fractional)
Sc1 0.0000 0.0000 0.0000
Sc2 0.5000 0.5000 0.0000
Ba1 0.5000 0.0000 0.5000
Pb1 0.0000 0.5000 0.5000

Values from the calculation:
calculated formation energy	0.03	eV per atom
total moment	1.41	μB/cell
calculated volume	29.775	Å³/atom


VASP calculation (PBE) on a relaxed ErMgScTc crystal.

Lattice parameters (Å, degrees): 4.8749 4.8749 4.8749 60.00 60.00 60.00
Element x y z (fractional)
Er1 0.5000 0.5000 0.5000
Tc1 0.7500 0.7500 0.7500
Mg1 0.2500 0.2500 0.2500
Sc1 0.0000 0.0000 0.0000

Values from the calculation:
calculated formation energy	-0.06	eV per atom
total moment	0.00	μB/cell
calculated volume	20.480	Å³/atom


VASP calculation (PBE) on a relaxed PrNdAl2 crystal.

Lattice parameters (Å, degrees): 3.7449 3.7449 7.4900 90.00 90.00 90.00
Element x y z (fractional)
Nd1 0.5000 0.5000 0.0000
Pr1 0.5000 0.5000 0.5000
Al1 0.0000 0.0000 0.7533
Al2 0.0000 0.0000 0.2467

Values from the calculation:
calculated formation energy	-0.35	eV per atom
total moment	0.00	μB/cell
calculated volume	26.261	Å³/atom